PBr2Cl | PBE | optimized geometry

Results
offset from the most stable computed form	125.2	kJ/mol of atoms
calculated volume	87.0	Å³/f.u.

Lattice parameters (Å, degrees): 4.9896 4.9896 3.4959 90.00 90.00 90.00
Closest atoms and distances in Å follow each position.
Fractional coordinates of all 4 atoms:
P1 0.0000 0.0000 0.0000  8 Br 3.05
Br1 0.0000 0.5000 0.5000  4 Cl 3.05, 4 P 3.05
Br2 0.5000 0.0000 0.5000  4 Cl 3.05, 4 P 3.05
Cl1 0.5000 0.5000 0.0000  8 Br 3.05

PBrCl2 | PBE | optimized geometry

Results
offset from the most stable computed form	63.3	kJ/mol of atoms
calculated volume	104.2	Å³/f.u.

Lattice parameters (Å, degrees): 11.7694 11.7694 11.7694 15.71 15.71 15.71
Closest atoms and distances in Å follow each position.
Fractional coordinates of all 4 atoms:
P1 0.0000 0.0000 0.0000  2 Cl 2.12
Br1 0.5000 0.5000 0.5000  6 Br 3.22
Cl1 0.0607 0.0607 0.0607  1 P 2.12
Cl2 0.9393 0.9393 0.9393  1 P 2.12

PBrCl2 | PBE | optimized geometry

Results
offset from the most stable computed form	123.0	kJ/mol of atoms
calculated volume	82.1	Å³/f.u.

Lattice parameters (Å, degrees): 5.2328 5.2328 3.1284 90.00 90.00 106.68
Closest atoms and distances in Å follow each position.
Fractional coordinates of all 4 atoms:
P1 0.0000 0.0000 0.0000  8 Cl 3.05, 2 Br 3.12, 2 P 3.13
Br1 0.5000 0.5000 0.0000  8 Cl 3.05, 2 P 3.12, 2 Br 3.13
Cl1 0.0000 0.5000 0.5000  4 Br 3.05, 4 P 3.05, 4 Cl 3.12-3.13
Cl2 0.5000 0.0000 0.5000  4 Br 3.05, 4 P 3.05, 4 Cl 3.12-3.13

PBr2Cl | PBE | optimized geometry

Results
offset from the most stable computed form	68.0	kJ/mol of atoms
calculated volume	102.6	Å³/f.u.

Lattice parameters (Å, degrees): 8.3883 8.3883 8.3883 26.37 26.37 26.37
Closest atoms and distances in Å follow each position.
Fractional coordinates of all 4 atoms:
P1 0.0000 0.0000 0.0000  3 Cl 2.61, 3 Br 2.66
Br1 0.2723 0.2723 0.2723  3 P 2.66
Br2 0.5160 0.5160 0.5160  3 Br 3.10
Cl1 0.7238 0.7238 0.7238  3 P 2.61

PBr2Cl | PBE | optimized geometry

Results
offset from the most stable computed form	16.5	kJ/mol of atoms
calculated volume	147.7	Å³/f.u.

Lattice parameters (Å, degrees): 6.8753 6.8753 6.7094 114.39 114.39 31.03
Closest atoms and distances in Å follow each position.
Fractional coordinates of all 4 atoms:
P1 0.0000 0.0000 0.0000  1 Br 2.22
Br1 0.1362 0.1362 0.8918  1 P 2.22
Br2 0.3799 0.3799 0.7222  2 P 2.62
Cl1 0.5804 0.5804 0.2715  2 P 2.48

PBrCl2 | PBE | optimized geometry

Results
offset from the most stable computed form	57.9	kJ/mol of atoms
calculated volume	94.8	Å³/f.u.

Lattice parameters (Å, degrees): 7.9897 7.9897 7.9897 27.32 27.32 27.32
Closest atoms and distances in Å follow each position.
Fractional coordinates of all 4 atoms:
P1 0.0000 0.0000 0.0000  3 Cl 2.60, 3 Br 2.64
Br1 0.2685 0.2685 0.2685  3 P 2.64, 3 Cl 2.95
Cl1 0.5157 0.5157 0.5157  3 Br 2.95
Cl2 0.7281 0.7281 0.7281  3 P 2.60

PBrCl3 | PBE | optimized geometry

Results
offset from the most stable computed form	0.0	kJ/mol of atoms
calculated volume	190.5	Å³/f.u.

Lattice parameters (Å, degrees): 5.6600 9.2930 7.2434 90.00 90.65 90.00
Closest atoms and distances in Å follow each position.
Fractional coordinates of all 10 atoms:
P1 0.2257 0.2500 0.2564  3 Cl 2.04-2.17
P2 0.7743 0.7500 0.7436  3 Cl 2.04-2.17
Br1 0.0962 0.2500 0.5733  1 P 2.42
Br2 0.9038 0.7500 0.4267  1 P 2.42
Cl1 0.0886 0.2500 0.9750  1 P 2.17
Cl2 0.4484 0.0781 0.2520  1 P 2.04
Cl3 0.4484 0.4219 0.2520  1 P 2.04
Cl4 0.5516 0.5781 0.7480  1 P 2.04
Cl5 0.5516 0.9219 0.7480  1 P 2.04
Cl6 0.9114 0.7500 0.0250  1 P 2.17

PBrCl | PBE | optimized geometry

Results
offset from the most stable computed form	65.2	kJ/mol of atoms
calculated volume	87.2	Å³/f.u.

Lattice parameters (Å, degrees): 4.0399 4.0399 6.1685 90.00 90.00 120.00
Closest atoms and distances in Å follow each position.
Fractional coordinates of all 3 atoms:
P1 0.0000 0.0000 0.0000  3 Cl 2.62, 3 Br 2.69
Br1 0.6667 0.3333 0.2184  3 P 2.69
Cl1 0.3333 0.6667 0.8056  3 P 2.62

PBrCl2 | PBE | optimized geometry

Results
offset from the most stable computed form	45.1	kJ/mol of atoms
calculated volume	114.7	Å³/f.u.

Lattice parameters (Å, degrees): 6.8059 6.8059 6.8059 152.36 127.79 60.09
Closest atoms and distances in Å follow each position.
Fractional coordinates of all 4 atoms:
P1 0.0000 0.0000 0.0000  4 Cl 2.37
Br1 0.5000 0.5000 0.0000  2 Br 3.25, 4 P 3.41, 4 Cl 3.46
Cl1 0.1469 0.6469 0.5000  2 P 2.37
Cl2 0.8531 0.3531 0.5000  2 P 2.37

PBr2Cl | PBE | optimized geometry

Results
offset from the most stable computed form	75.5	kJ/mol of atoms
calculated volume	107.7	Å³/f.u.

Lattice parameters (Å, degrees): 9.0301 9.0301 9.0301 24.08 24.08 24.08
Closest atoms and distances in Å follow each position.
Fractional coordinates of all 4 atoms:
P1 0.0000 0.0000 0.0000  6 Br 2.73
Br1 0.3960 0.3960 0.3960  3 P 2.73, 1 Cl 2.73
Br2 0.6040 0.6040 0.6040  3 P 2.73, 1 Cl 2.73
Cl1 0.5000 0.5000 0.5000  2 Br 2.73

PBr3Cl | PBE | optimized geometry

Results
offset from the most stable computed form	0.0	kJ/mol of atoms
calculated volume	225.4	Å³/f.u.

Lattice parameters (Å, degrees): 5.9029 10.6364 7.1797 90.00 90.47 90.00
Closest atoms and distances in Å follow each position.
Fractional coordinates of all 10 atoms:
P1 0.1790 0.2500 0.2555  1 Cl 2.16, 3 Br 2.23-2.40
P2 0.8210 0.7500 0.7445  1 Cl 2.16, 3 Br 2.23-2.40
Br1 0.0374 0.2500 0.5682  1 P 2.40
Br2 0.4098 0.0841 0.2492  1 P 2.23
Br3 0.4098 0.4159 0.2492  1 P 2.23
Br4 0.5902 0.5841 0.7508  1 P 2.23
Br5 0.5902 0.9159 0.7508  1 P 2.23
Br6 0.9626 0.7500 0.4318  1 P 2.40
Cl1 0.0331 0.2500 0.9780  1 P 2.16
Cl2 0.9669 0.7500 0.0220  1 P 2.16

PBrCl6 | PBE | optimized geometry

Results
calculated volume	278.3	Å³/f.u.

Lattice parameters (Å, degrees): 6.5538 7.2694 7.3260 114.19 112.49 96.69
Closest atoms and distances in Å follow each position.
Fractional coordinates of all 8 atoms:
P1 0.0000 0.0000 0.0000  6 Cl 2.11-2.33
Br1 0.0000 0.5000 0.5000  2 Cl 2.41
Cl1 0.1054 0.0871 0.7996  1 P 2.11
Cl2 0.1185 0.6995 0.8997  1 P 2.33, 1 Br 2.41
Cl3 0.3389 0.1731 0.2789  1 P 2.11
Cl4 0.6611 0.8269 0.7211  1 P 2.11
Cl5 0.8815 0.3005 0.1003  1 P 2.33, 1 Br 2.41
Cl6 0.8946 0.9129 0.2004  1 P 2.11

PBr2Cl | PBE | optimized geometry

Results
offset from the most stable computed form	91.1	kJ/mol of atoms
calculated volume	105.3	Å³/f.u.

Lattice parameters (Å, degrees): 3.1612 3.1612 10.5410 90.00 90.00 90.00
Closest atoms and distances in Å follow each position.
Fractional coordinates of all 4 atoms:
P1 0.0000 0.0000 0.0000  4 Cl 2.75, 4 Br 2.80
Br1 0.0000 0.0000 0.4905  4 Br 3.16
Br2 0.5000 0.5000 0.1602  4 P 2.80
Cl1 0.5000 0.5000 0.8485  4 P 2.75

PBrCl2 | PBE | optimized geometry

Results
offset from the most stable computed form	68.3	kJ/mol of atoms
calculated volume	120.4	Å³/f.u.

Lattice parameters (Å, degrees): 9.9030 9.9030 9.9030 22.09 22.09 22.09
Closest atoms and distances in Å follow each position.
Fractional coordinates of all 4 atoms:
P1 0.0000 0.0000 0.0000  6 Cl 2.53
Br1 0.5000 0.5000 0.5000  2 Cl 3.55, 6 Br 3.79
Cl1 0.3773 0.3773 0.3773  3 P 2.53
Cl2 0.6227 0.6227 0.6227  3 P 2.53

PBrCl | PBE | optimized geometry

Results
offset from the most stable computed form	19.5	kJ/mol of atoms
calculated volume	107.9	Å³/f.u.

Lattice parameters (Å, degrees): 3.3498 5.1539 7.0450 111.02 92.10 105.97
Closest atoms and distances in Å follow each position.
Fractional coordinates of all 3 atoms:
P1 0.0000 0.0000 0.0000  1 Cl 2.05, 1 Br 2.21
Br1 0.1968 0.4163 0.2724  1 P 2.21
Cl1 0.0368 0.1320 0.7574  1 P 2.05

Number 1: uncorrected formation energy 0.8285 eV per atom. Number 2: uncorrected formation energy 0.2366 eV per atom. Number 3: uncorrected formation energy 0.8549 eV per atom. Number 4: uncorrected formation energy 0.2364 eV per atom. Number 5: uncorrected formation energy -0.2982 eV per atom. Number 6: uncorrected formation energy 0.1807 eV per atom. Number 7: uncorrected formation energy -0.4924 eV per atom. Number 8: uncorrected formation energy 0.2316 eV per atom. Number 9: uncorrected formation energy 0.0480 eV per atom. Number 10: uncorrected formation energy 0.3141 eV per atom. Number 11: uncorrected formation energy -0.3107 eV per atom. Number 12: uncorrected formation energy -0.3424 eV per atom. Number 13: uncorrected formation energy 0.4753 eV per atom. Number 14: uncorrected formation energy 0.2880 eV per atom. Number 15: uncorrected formation energy -0.2420 eV per atom.